Record 1
DFT (meta-GGA SCAN) results for a crystal of MnFeW relaxed with PBEsol.

## Properties
The energy of formation comes out at 48 meV per atom. The volume is 37.49 Å³/cell. The magnetization is 3.7 μB/cell. The symmetry is I4mm.

The structure in CIF format:
```
data_MnFeW
_chemical_formula_sum 'Mn1 Fe1 W1'
_cell_length_a 2.977
_cell_length_b 2.977
_cell_length_c 4.724
_cell_angle_alpha 108.37
_cell_angle_beta 108.37
_cell_angle_gamma 90.00
_symmetry_space_group_name_H-M 'P 1'
_symmetry_Int_Tables_number 1
loop_
_symmetry_equiv_pos_as_xyz
'x,y,z'
loop_
_atom_site_label
_atom_site_fract_x
_atom_site_fract_y
_atom_site_fract_z
_atom_site_occupancy
W1 0.334 0.334 0.667 1
Mn1 0.664 0.664 0.328 1
Fe1 0.003 0.003 0.005 1
```

Record 2
DFT (meta-GGA SCAN) results for a crystal of Mn2FeW relaxed with PBEsol.

## Properties
The energy of formation comes out at 156 meV per atom. The volume is 46.69 Å³/cell. The magnetization is 1.8 μB/cell. The symmetry is I4/mmm.

The structure in CIF format:
```
data_Mn2FeW
_chemical_formula_sum 'Mn2 Fe1 W1'
_cell_length_a 3.573
_cell_length_b 3.573
_cell_length_c 4.446
_cell_angle_alpha 113.69
_cell_angle_beta 113.69
_cell_angle_gamma 90.00
_symmetry_space_group_name_H-M 'P 1'
_symmetry_Int_Tables_number 1
loop_
_symmetry_equiv_pos_as_xyz
'x,y,z'
loop_
_atom_site_label
_atom_site_fract_x
_atom_site_fract_y
_atom_site_fract_z
_atom_site_occupancy
Mn1 0.750 0.250 0.500 1
W1 0.500 0.500 0.000 1
Fe1 0.000 0.000 0.000 1
Mn2 0.250 0.750 0.500 1
```

Record 3
DFT (meta-GGA SCAN) results for a crystal of MnFeW2 relaxed with PBEsol.

## Properties
The energy of formation comes out at 90 meV per atom. The volume is 53.39 Å³/cell. The magnetization is 3.3 μB/cell. The symmetry is P4mm.

The structure in CIF format:
```
data_MnFeW2
_chemical_formula_sum 'Mn1 Fe1 W2'
_cell_length_a 3.033
_cell_length_b 3.033
_cell_length_c 5.804
_cell_angle_alpha 90.00
_cell_angle_beta 90.00
_cell_angle_gamma 90.00
_symmetry_space_group_name_H-M 'P 1'
_symmetry_Int_Tables_number 1
loop_
_symmetry_equiv_pos_as_xyz
'x,y,z'
loop_
_atom_site_label
_atom_site_fract_x
_atom_site_fract_y
_atom_site_fract_z
_atom_site_occupancy
Mn1 0.500 0.500 0.745 1
W1 0.000 0.000 0.979 1
W2 0.500 0.500 0.272 1
Fe1 0.000 0.000 0.505 1
```

Record 4
DFT (meta-GGA SCAN) results for a crystal of Mn2FeW relaxed with PBEsol.

## Properties
The energy of formation comes out at 62 meV per atom. The volume is 47.76 Å³/cell. The magnetization is 4.7 μB/cell. The symmetry is P4/mmm.

The structure in CIF format:
```
data_Mn2FeW
_chemical_formula_sum 'Mn2 Fe1 W1'
_cell_length_a 3.030
_cell_length_b 3.970
_cell_length_c 3.970
_cell_angle_alpha 90.00
_cell_angle_beta 90.00
_cell_angle_gamma 90.00
_symmetry_space_group_name_H-M 'P 1'
_symmetry_Int_Tables_number 1
loop_
_symmetry_equiv_pos_as_xyz
'x,y,z'
loop_
_atom_site_label
_atom_site_fract_x
_atom_site_fract_y
_atom_site_fract_z
_atom_site_occupancy
Fe1 0.500 0.000 0.000 1
Mn1 0.000 0.000 0.500 1
W1 0.500 0.500 0.500 1
Mn2 0.000 0.500 0.000 1
```

Record 5
DFT (meta-GGA SCAN) results for a crystal of Mn4FeW relaxed with PBEsol.

## Properties
The energy of formation comes out at 132 meV per atom. The volume is 68.14 Å³/cell. The magnetization is 0.6 μB/cell. The symmetry is F-43m.

The structure in CIF format:
```
data_Mn4FeW
_chemical_formula_sum 'Mn4 Fe1 W1'
_cell_length_a 4.585
_cell_length_b 4.585
_cell_length_c 4.585
_cell_angle_alpha 60.00
_cell_angle_beta 60.00
_cell_angle_gamma 60.00
_symmetry_space_group_name_H-M 'P 1'
_symmetry_Int_Tables_number 1
loop_
_symmetry_equiv_pos_as_xyz
'x,y,z'
loop_
_atom_site_label
_atom_site_fract_x
_atom_site_fract_y
_atom_site_fract_z
_atom_site_occupancy
Mn1 0.627 0.627 0.120 1
Mn2 0.627 0.120 0.627 1
Fe1 0.000 0.000 0.000 1
W1 0.250 0.250 0.250 1
Mn3 0.120 0.627 0.627 1
Mn4 0.627 0.627 0.627 1
```

Record 6
DFT (meta-GGA SCAN) results for a crystal of YMn8Fe4 relaxed with PBEsol.

## Properties
The energy of formation comes out at -7 meV per atom. The volume is 151.17 Å³/cell. The magnetization is 5.1 μB/cell. The symmetry is I4/mmm.

The structure in CIF format:
```
data_YMn8Fe4
_chemical_formula_sum 'Y1 Mn8 Fe4'
_cell_length_a 4.589
_cell_length_b 6.181
_cell_length_c 6.181
_cell_angle_alpha 82.08
_cell_angle_beta 68.21
_cell_angle_gamma 68.21
_symmetry_space_group_name_H-M 'P 1'
_symmetry_Int_Tables_number 1
loop_
_symmetry_equiv_pos_as_xyz
'x,y,z'
loop_
_atom_site_label
_atom_site_fract_x
_atom_site_fract_y
_atom_site_fract_z
_atom_site_occupancy
Mn1 0.725 0.775 0.775 1
Mn2 0.637 0.363 0.363 1
Mn3 0.000 0.363 0.637 1
Mn4 0.500 0.225 0.775 1
Mn5 0.000 0.637 0.363 1
Mn6 0.500 0.775 0.225 1
Y1 0.000 0.000 0.000 1
Fe1 0.000 0.000 0.500 1
Fe2 0.500 0.500 0.000 1
Fe3 0.500 0.000 0.500 1
Mn7 0.275 0.225 0.225 1
Fe4 0.000 0.500 0.000 1
Mn8 0.363 0.637 0.637 1
```

Record 7
DFT (meta-GGA SCAN) results for a crystal of Y2MnFe relaxed with PBEsol.

## Properties
The energy of formation comes out at 72 meV per atom. The volume is 77.50 Å³/cell. The magnetization is 5.2 μB/cell. The symmetry is P4/mmm.

The structure in CIF format:
```
data_Y2MnFe
_chemical_formula_sum 'Y2 Mn1 Fe1'
_cell_length_a 3.356
_cell_length_b 3.356
_cell_length_c 6.881
_cell_angle_alpha 89.98
_cell_angle_beta 90.00
_cell_angle_gamma 90.00
_symmetry_space_group_name_H-M 'P 1'
_symmetry_Int_Tables_number 1
loop_
_symmetry_equiv_pos_as_xyz
'x,y,z'
loop_
_atom_site_label
_atom_site_fract_x
_atom_site_fract_y
_atom_site_fract_z
_atom_site_occupancy
Fe1 0.500 0.500 0.000 1
Y1 0.000 0.001 0.235 1
Mn1 0.500 0.500 0.500 1
Y2 0.000 0.999 0.765 1
```

Record 8
DFT (meta-GGA SCAN) results for a crystal of Y2MnFe relaxed with PBEsol.

## Properties
The energy of formation comes out at 149 meV per atom. The volume is 76.95 Å³/cell. The magnetization is 4.0 μB/cell. The symmetry is Imm2.

The structure in CIF format:
```
data_Y2MnFe
_chemical_formula_sum 'Y2 Mn1 Fe1'
_cell_length_a 3.289
_cell_length_b 4.513
_cell_length_c 5.889
_cell_angle_alpha 112.53
_cell_angle_beta 106.22
_cell_angle_gamma 90.00
_symmetry_space_group_name_H-M 'P 1'
_symmetry_Int_Tables_number 1
loop_
_symmetry_equiv_pos_as_xyz
'x,y,z'
loop_
_atom_site_label
_atom_site_fract_x
_atom_site_fract_y
_atom_site_fract_z
_atom_site_occupancy
Y1 0.771 0.771 0.542 1
Mn1 0.194 0.194 0.387 1
Y2 0.990 0.490 0.979 1
Fe1 0.546 0.046 0.091 1
```

Number 1: theoretical density 13.051 g/cm3. Number 2: theoretical density 12.432 g/cm3. Number 3: theoretical density 14.882 g/cm3. Number 4: theoretical density 12.153 g/cm3. Number 5: theoretical density 11.197 g/cm3. Number 6: theoretical density 8.258 g/cm3. Number 7: theoretical density 6.183 g/cm3. Number 8: theoretical density 6.227 g/cm3.